## one
First-principles (PBE) data for an optimized crystal structure of YTm3In3, as listed in Alexandria via LeMat-Bulk.

The structure belongs to space group P2_13 (No. 198); the cell edges are 9.2252, 9.2252 and 9.2252 Å and the angles 90.00°, 90.00° and 90.00°. Symmetry generates all atoms from Y at (0.0532, 0.4468, 0.5532), Tm at (0.1123, 0.6123, 0.8877), Tm at (0.1683, 0.1683, 0.1683), Tm at (0.1970, 0.8030, 0.3030) and In at (0.0057, 0.7928, 0.6046).

The density of states at the Fermi level is 24.50 states/eV/cell. For the total magnetization, the calculation gives 0.00 μB/cell.



## two
First-principles (PBE) data for an optimized crystal structure of YTm3In3, as listed in Alexandria via LeMat-Bulk.

The structure belongs to space group P6_3/m (No. 176); the cell edges are 8.9514, 8.9514 and 5.5205 Å and the angles 90.00°, 90.00° and 120.00°. Symmetry generates all atoms from Y at (0.3333, 0.6667, 0.2500), Tm at (0.0963, 0.4561, 0.7500) and In at (0.0479, 0.2348, 0.2500).

The density of states at the Fermi level is 13.16 states/eV/cell. For the total magnetization, the calculation gives 0.00 μB/cell.



Energy relative to the most stable one, in eV/atom: one 0.000; two 0.101



## one
First-principles (PBE) data for an optimized crystal structure of YTm3In, as listed in Alexandria via LeMat-Bulk.

The structure belongs to space group C2/m (No. 12); the cell edges are 19.1512, 3.6373 and 8.6150 Å and the angles 90.00°, 104.31° and 90.00°. Symmetry generates all atoms from Y at (0.1862, 0.0000, 0.3764), Tm at (0.0006, 0.0000, 0.2561), Tm at (0.1052, 0.5000, 0.0484), Tm at (0.2009, 0.0000, 0.8234) and In at (0.0912, 0.5000, 0.5581).

The density of states at the Fermi level is 25.69 states/eV/cell. For the total magnetization, the calculation gives 0.00 μB/cell.



## two
First-principles (PBE) data for an optimized crystal structure of YTm3In, as listed in Alexandria via LeMat-Bulk.

The structure belongs to space group Pmmn (No. 59, origin choice 2); the cell edges are 5.2678, 8.3864 and 6.7909 Å and the angles 90.00°, 90.00° and 90.00°. Symmetry generates all atoms from Y at (0.2500, 0.2500, 0.2112), Tm at (0.2500, 0.0582, 0.7290), Tm at (0.2500, 0.7500, 0.0609) and In at (0.2500, 0.7500, 0.4912).

The density of states at the Fermi level is 8.66 states/eV/cell. For the total magnetization, the calculation gives 0.00 μB/cell.



Energy relative to the most stable one, in eV/atom: one 0.000; two 0.064



## one
First-principles (PBE) data for an optimized crystal structure of YTm6In, as listed in Alexandria via LeMat-Bulk.

The structure belongs to space group P4/mmm (No. 123); the cell edges are 4.8553, 4.8553 and 9.8692 Å and the angles 90.00°, 90.00° and 90.00°. Symmetry generates all atoms from Y at (0.0000, 0.0000, 0.0000), Tm at (0.0000, 0.5000, 0.2556), Tm at (0.5000, 0.5000, 0.0000), Tm at (0.5000, 0.5000, 0.5000) and In at (0.0000, 0.0000, 0.5000).

The density of states at the Fermi level is 8.48 states/eV/cell. For the total magnetization, the calculation gives 0.00 μB/cell.



## two
First-principles (PBE) data for an optimized crystal structure of YTm6In, as listed in Alexandria via LeMat-Bulk.

The structure belongs to space group R-3 (No. 148, hexagonal axes); the cell edges are 9.1006, 9.1006 and 10.0019 Å and the angles 90.00°, 90.00° and 120.00°. Symmetry generates all atoms from Y at (0.0000, 0.0000, 0.0000), Tm at (0.0197, 0.2583, 0.7220) and In at (0.0000, 0.0000, 0.5000).

The density of states at the Fermi level is 34.50 states/eV/cell. For the total magnetization, the calculation gives 0.01 μB/cell.



Energy relative to the most stable one, in eV/atom: one 0.000; two 0.121



## one
First-principles (PBE) data for an optimized crystal structure of Y2Tm3In2, as listed in Alexandria via LeMat-Bulk.

The structure belongs to space group Cmmm (No. 65); the cell edges are 4.9123, 23.3291 and 3.4253 Å and the angles 90.00°, 90.00° and 90.00°. Symmetry generates all atoms from Y at (0.0000, 0.2140, 0.0000), Tm at (0.0000, 0.3575, 0.5000), Tm at (0.0000, 0.5000, 0.5000) and In at (0.0000, 0.0712, 0.0000).

The density of states at the Fermi level is 11.93 states/eV/cell. For the total magnetization, the calculation gives 0.60 μB/cell.



## two
First-principles (PBE) data for an optimized crystal structure of Y2Tm3In2, as listed in Alexandria via LeMat-Bulk.

The structure belongs to space group C2/m (No. 12); the cell edges are 11.4227, 5.1157 and 6.8844 Å and the angles 90.00°, 90.27° and 90.00°. Symmetry generates all atoms from Y at (0.1000, 0.0000, 0.3173), Tm at (0.0000, 0.5000, 0.0000), Tm at (0.2056, 0.0000, 0.8371) and In at (0.1198, 0.5000, 0.5880).

The density of states at the Fermi level is 15.35 states/eV/cell. For the total magnetization, the calculation gives 0.00 μB/cell.



Energy relative to the most stable one, in eV/atom: one 0.133; two 0.000



## one
First-principles (PBE) data for an optimized crystal structure of Y6Tm8In, as listed in Alexandria via LeMat-Bulk.

The structure belongs to space group P-3 (No. 147); the cell edges are 9.1358, 9.1358 and 6.6491 Å and the angles 90.00°, 90.00° and 120.00°. Symmetry generates all atoms from Y at (0.0866, 0.6846, 0.3992), Tm at (0.0153, 0.3304, 0.1061), Tm at (0.3333, 0.6667, 0.8238) and In at (0.0000, 0.0000, 0.5000).

The density of states at the Fermi level is 20.62 states/eV/cell. For the total magnetization, the calculation gives 0.00 μB/cell.



## two
First-principles (PBE) data for an optimized crystal structure of Y6Tm8In, as listed in Alexandria via LeMat-Bulk.

The structure belongs to space group R-3 (No. 148, hexagonal axes); the cell edges are 8.9317, 8.9317 and 19.9701 Å and the angles 90.00°, 90.00° and 120.00°. Symmetry generates all atoms from Y at (0.0678, 0.2542, 0.2053), Tm at (0.0000, 0.0000, 0.0754), Tm at (0.0810, 0.5549, 0.3100) and In at (0.0000, 0.0000, 0.5000).

The density of states at the Fermi level is 57.41 states/eV/cell. For the total magnetization, the calculation gives 0.00 μB/cell.



Energy relative to the most stable one, in eV/atom: one 0.181; two 0.000



## one
First-principles (PBE) data for an optimized crystal structure of YTm2In2, as listed in Alexandria via LeMat-Bulk.

The structure belongs to space group P2_1/m (No. 11); the cell edges are 3.7218, 5.3058 and 13.8497 Å and the angles 90.00°, 97.73° and 90.00°. Symmetry generates all atoms from Y at (0.1483, 0.2500, 0.2980), Tm at (0.0481, 0.7500, 0.0961), Tm at (0.2375, 0.7500, 0.4751), In at (0.3568, 0.2500, 0.7123) and In at (0.4506, 0.7500, 0.9019).

The density of states at the Fermi level is 8.08 states/eV/cell. For the total magnetization, the calculation gives 0.00 μB/cell.



## two
First-principles (PBE) data for an optimized crystal structure of YTm2In2, as listed in Alexandria via LeMat-Bulk.

The structure belongs to space group I4/mmm (No. 139); the cell edges are 4.5366, 4.5366 and 28.9763 Å and the angles 90.00°, 90.00° and 90.00°. Symmetry generates all atoms from Y at (0.0000, 0.0000, 0.1405), Tm at (0.0000, 0.0000, 0.4260), Tm at (0.0000, 0.5000, 0.2500), In at (0.0000, 0.0000, 0.3251) and In at (0.0000, 0.5000, 0.0000).

The density of states at the Fermi level is 18.42 states/eV/cell. For the total magnetization, the calculation gives 0.00 μB/cell.



Energy relative to the most stable one, in eV/atom: one 0.000; two 0.246